(1)
{"formula": "CsMgHgSb", "functional": "PBE", "state": "relaxed", "formation_energy_uncorrected_ev_per_atom": -0.44, "sg": "P4/nmm", "dos_at_fermi_per_ev_atom": 0.27, "dft_energy_ev_per_cell": -17.22, "cell": [[-3.304, 2.545, -2.384], [-3.306, -1.238, 3.259], [3.176, 11.085, 7.432]], "species": ["Sb", "Hg", "Sb", "Hg", "Mg", "Cs", "Cs", "Mg"], "frac_coords": [[0.750, 0.750, 0.877], [0.750, 0.250, 0.500], [0.250, 0.250, 0.123], [0.250, 0.750, 0.500], [0.750, 0.250, 0.000], [0.250, 0.250, 0.745], [0.750, 0.750, 0.255], [0.250, 0.750, 0.000]]}

***

(2)
{"formula": "InAgP", "functional": "PBE", "state": "relaxed", "sg": "F-43m", "e_above_lowest_polymorph_mev_per_atom": 4, "dos_at_fermi_per_ev_atom": 0.71, "dft_energy_ev_per_cell": -10.44, "ef_ev_per_atom": 0.19, "cell": [[-0.534, 3.349, -3.046], [-3.986, 0.511, -2.151], [-2.675, 3.560, 0.972]], "species": ["P", "Ag", "In"], "frac_coords": [[0.750, 0.750, 0.750], [0.000, 0.000, 0.000], [0.500, 0.500, 0.500]]}

***

(3)
{"formula": "AgW", "functional": "PBE", "state": "relaxed", "sg": "R-3m", "e_above_lowest_polymorph_mev_per_atom": 278, "dos_at_fermi_per_ev_atom": 0.80, "dft_energy_ev_per_cell": -14.56, "ef_ev_per_atom": 0.62, "cell": [[-1.382, 4.610, -2.016], [-0.700, 3.016, -4.200], [-3.220, 2.772, -3.029]], "species": ["Ag", "W"], "frac_coords": [[0.000, 0.000, 0.000], [0.500, 0.500, 0.500]]}

***

(4)
{"formula": "KRb3Cd2F9", "functional": "PBE", "state": "relaxed", "formation_energy_uncorrected_ev_per_atom": -2.37, "sg": "P-3m1", "dos_at_fermi_per_ev_atom": 0.37, "dft_energy_ev_per_cell": -58.18, "cell": [[-0.378, -3.597, -5.380], [0.464, -2.872, 5.793], [-8.016, -0.067, 0.609]], "species": ["F", "F", "F", "F", "K", "F", "Rb", "F", "Rb", "Rb", "F", "Cd", "Cd", "F", "F"], "frac_coords": [[0.824, 0.649, 0.691], [0.649, 0.824, 0.309], [0.176, 0.824, 0.309], [0.824, 0.176, 0.691], [0.000, 0.000, 0.500], [0.500, 0.500, 0.000], [0.000, 0.000, 0.000], [0.176, 0.351, 0.309], [0.667, 0.333, 0.345], [0.333, 0.667, 0.655], [0.351, 0.176, 0.691], [0.667, 0.333, 0.846], [0.333, 0.667, 0.154], [0.000, 0.500, 0.000], [0.500, 0.000, 0.000]]}

***

(5)
{"formula": "NaY3I", "functional": "PBE", "state": "relaxed", "formation_energy_uncorrected_ev_per_atom": 0.68, "sg": "Pm-3m", "e_above_lowest_polymorph_mev_per_atom": 415, "dos_at_fermi_per_ev_atom": 0.87, "dft_energy_ev_per_cell": -18.85, "cell": [[-4.166, 3.019, -2.371], [-3.132, -4.697, -0.476], [-2.220, 0.961, 5.123]], "species": ["Na", "Y", "Y", "I", "Y"], "frac_coords": [[0.000, 0.000, 0.000], [0.000, 0.000, 0.500], [0.500, 0.000, 0.000], [0.500, 0.500, 0.500], [0.000, 0.500, 0.000]]}

***

(6)
{"formula": "BaMgRh2", "functional": "PBE", "state": "relaxed", "sg": "Imm2", "dos_at_fermi_per_ev_atom": 0.65, "dft_energy_ev_per_cell": -17.87, "ef_ev_per_atom": 0.09, "cell": [[6.141, -0.014, 0.016], [3.244, 5.214, -0.016], [-4.079, -3.707, 2.707]], "species": ["Rh", "Mg", "Ba", "Rh"], "frac_coords": [[0.785, 0.285, 0.500], [0.218, 0.718, 0.500], [0.512, 0.512, 0.000], [0.985, 0.985, 0.000]]}

***

(7)
{"formula": "HfGaAsBr2", "functional": "PBE", "state": "relaxed", "formation_energy_uncorrected_ev_per_atom": -0.40, "sg": "P4/mmm", "e_above_lowest_polymorph_mev_per_atom": 0, "dos_at_fermi_per_ev_atom": 0.28, "dft_energy_ev_per_cell": -22.99, "cell": [[5.334, 0.000, 0.000], [0.000, 5.334, 0.000], [0.000, 0.000, 5.217]], "species": ["Br", "Br", "Ga", "Hf", "As"], "frac_coords": [[0.500, 0.000, 0.000], [0.000, 0.500, 0.000], [0.500, 0.500, 0.500], [0.000, 0.000, 0.000], [0.000, 0.000, 0.500]]}

***

(8)
{"formula": "PaHPt3", "functional": "PBE", "state": "relaxed", "sg": "Pm-3m", "dos_at_fermi_per_ev_atom": 1.40, "dft_energy_ev_per_cell": -33.16, "cell": [[-0.052, -2.537, -3.421], [-0.424, -3.401, 2.529], [-4.238, 0.371, -0.211]], "species": ["Pt", "Pt", "H", "Pa", "Pt"], "frac_coords": [[0.500, 0.000, 0.000], [0.000, 0.500, 0.000], [0.000, 0.000, 0.000], [0.500, 0.500, 0.500], [0.000, 0.000, 0.500]]}

***

(9)
{"formula": "Ca2LaMo", "functional": "PBE", "state": "relaxed", "sg": "Cmmm", "e_above_lowest_polymorph_mev_per_atom": 289, "dos_at_fermi_per_ev_atom": 1.50, "dft_energy_ev_per_cell": -16.79, "ef_ev_per_atom": 0.74, "cell": [[6.249, 0.030, 0.000], [-3.055, 5.452, 0.000], [0.000, 0.000, 3.272]], "species": ["La", "Ca", "Mo", "Ca"], "frac_coords": [[0.500, 0.000, 0.500], [0.500, 0.500, 0.000], [0.000, 0.500, 0.500], [0.000, 0.000, 0.000]]}

***

(10)
{"formula": "BeTlMo2C", "functional": "PBE", "state": "relaxed", "sg": "P4/mmm", "dos_at_fermi_per_ev_atom": 0.66, "dft_energy_ev_per_cell": -21.04, "ef_ev_per_atom": 3.19, "cell": [[5.268, 0.000, 0.000], [0.000, 3.959, 0.000], [0.000, 0.000, 5.268]], "species": ["Be", "C", "Mo", "Tl", "Mo"], "frac_coords": [[0.500, 0.500, 0.500], [0.000, 0.500, 0.000], [0.000, 0.000, 0.500], [0.000, 0.000, 0.000], [0.500, 0.000, 0.000]]}